Entry 1:
{
  "formula": "Al2Se",
  "functional": "meta-GGA SCAN",
  "state": "single point on PBEsol structure",
  "cell": [[3.5818, 0.0000, 0.0000], [0.0000, 5.5732, -0.0357], [-1.7909, -0.3543, 5.8594]],
  "species": ["Al", "Al", "Al", "Al", "Se", "Se"],
  "fractional_positions": [[0.8527, 0.3317, 0.7054], [0.5187, 0.2433, 0.0375], [0.4813, 0.7567, 0.9625], [0.1473, 0.6683, 0.2946], [0.1911, 0.2328, 0.3822], [0.8089, 0.7672, 0.6178]],
  "e_form_raw_mev_per_atom": -199,
  "e_tot_ev_per_atom": -12.06
}


Entry 2:
{
  "formula": "Al2Se",
  "functional": "meta-GGA SCAN",
  "state": "single point on PBEsol structure",
  "cell": [[-0.7160, 0.6299, -3.4163], [0.0793, -3.3332, 1.2100], [-10.2498, 0.5745, 2.2540]],
  "species": ["Al", "Al", "Al", "Al", "Se", "Se"],
  "fractional_positions": [[0.3333, 0.6667, 0.5863], [0.6667, 0.3333, 0.0863], [0.6667, 0.3333, 0.4137], [0.3333, 0.6667, 0.9137], [0.0000, 0.0000, 0.7500], [0.0000, 0.0000, 0.2500]],
  "e_form_raw_mev_per_atom": -167,
  "e_tot_ev_per_atom": -12.03
}


Entry 3:
{
  "formula": "Al2Se",
  "functional": "meta-GGA SCAN",
  "state": "single point on PBEsol structure",
  "cell": [[-0.1181, -3.1316, 1.4495], [2.0421, -1.9609, -4.0701], [6.5807, 1.0468, 2.7974]],
  "species": ["Al", "Al", "Al", "Al", "Se", "Se"],
  "fractional_positions": [[0.0000, 0.1543, 0.6520], [0.0000, 0.8457, 0.3480], [0.5000, 0.6543, 0.8480], [0.5000, 0.3457, 0.1520], [0.0000, 0.0000, 0.0000], [0.5000, 0.5000, 0.5000]],
  "e_form_raw_mev_per_atom": 82,
  "e_tot_ev_per_atom": -11.78
}


Entry 4:
{
  "formula": "Al2Se",
  "functional": "meta-GGA SCAN",
  "state": "single point on PBEsol structure",
  "cell": [[-3.2239, 1.3797, 0.6581], [0.8126, -3.2718, 1.1685], [1.7787, 2.0322, 4.4533]],
  "species": ["Al", "Al", "Se"],
  "fractional_positions": [[0.3333, 0.6667, 0.6734], [0.6667, 0.3333, 0.3266], [0.0000, 0.0000, 0.0000]],
  "e_form_raw_mev_per_atom": -174,
  "e_tot_ev_per_atom": -12.03
}


Entry 5:
{
  "formula": "AlSe2",
  "functional": "meta-GGA SCAN",
  "state": "single point on PBEsol structure",
  "cell": [[5.7151, 0.0000, 0.0000], [2.8575, 4.9494, 0.0000], [2.8575, 1.6498, 4.6663]],
  "species": ["Al", "Al", "Se", "Se", "Se", "Se"],
  "fractional_positions": [[0.5000, 0.5000, 0.5000], [0.7500, 0.7500, 0.7500], [0.1250, 0.1250, 0.1250], [0.1250, 0.1250, 0.6250], [0.1250, 0.6250, 0.1250], [0.6250, 0.1250, 0.1250]],
  "e_form_raw_mev_per_atom": 625,
  "e_tot_ev_per_atom": -15.34
}


Entry 6:
{
  "formula": "AlSiSe3",
  "functional": "meta-GGA SCAN",
  "state": "single point on PBEsol structure",
  "cell": [[4.7777, 0.0000, 0.0000], [0.0000, 4.7777, 0.0000], [0.0000, 0.0000, 4.7777]],
  "species": ["Si", "Al", "Se", "Se", "Se"],
  "fractional_positions": [[0.0000, 0.0000, 0.0000], [0.5000, 0.5000, 0.5000], [0.0000, 0.5000, 0.0000], [0.0000, 0.0000, 0.5000], [0.5000, 0.0000, 0.0000]],
  "e_form_raw_mev_per_atom": 273,
  "e_tot_ev_per_atom": -15.33
}


Entry 7:
{
  "formula": "Sm9Al5Se21",
  "functional": "meta-GGA SCAN",
  "state": "single point on PBEsol structure",
  "cell": [[11.9269, 0.0906, 0.1001], [-0.9881, 11.8862, 0.1001], [-0.9881, -1.0819, 11.8373]],
  "species": ["Sm", "Sm", "Sm", "Sm", "Sm", "Sm", "Sm", "Sm", "Sm", "Sm", "Sm", "Sm", "Sm", "Sm", "Sm", "Sm", "Sm", "Sm", "Al", "Al", "Al", "Al", "Al", "Al", "Al", "Al", "Al", "Al", "Se", "Se", "Se", "Se", "Se", "Se", "Se", "Se", "Se", "Se", "Se", "Se", "Se", "Se", "Se", "Se", "Se", "Se", "Se", "Se", "Se", "Se", "Se", "Se", "Se", "Se", "Se", "Se", "Se", "Se", "Se", "Se", "Se", "Se", "Se", "Se", "Se", "Se", "Se", "Se", "Se", "Se"],
  "fractional_positions": [[0.1140, 0.8870, 0.2614], [0.7699, 0.5472, 0.9296], [0.4418, 0.2364, 0.6065], [0.2364, 0.6065, 0.4418], [0.8870, 0.2614, 0.1140], [0.5472, 0.9296, 0.7699], [0.9296, 0.7699, 0.5472], [0.6065, 0.4418, 0.2364], [0.2614, 0.1140, 0.8870], [0.5701, 0.7887, 0.4137], [0.2282, 0.4482, 0.0662], [0.9046, 0.1223, 0.7516], [0.4482, 0.0662, 0.2282], [0.1223, 0.7516, 0.9046], [0.7887, 0.4137, 0.5701], [0.7516, 0.9046, 0.1223], [0.4137, 0.5701, 0.7887], [0.0662, 0.2282, 0.4482], [0.6133, 0.2808, 0.9535], [0.2808, 0.9535, 0.6133], [0.9535, 0.6133, 0.2808], [0.7761, 0.1189, 0.4529], [0.4529, 0.7761, 0.1189], [0.1189, 0.4529, 0.7761], [0.1429, 0.1429, 0.1429], [0.8281, 0.8281, 0.8281], [0.3261, 0.3261, 0.3261], [0.6449, 0.6449, 0.6449], [0.4901, 0.1581, 0.8276], [0.1581, 0.8276, 0.4901], [0.8276, 0.4901, 0.1581], [0.9918, 0.3259, 0.6586], [0.6586, 0.9918, 0.3259], [0.3259, 0.6586, 0.9918], [0.5464, 0.4611, 0.9953], [0.2100, 0.1326, 0.6472], [0.8885, 0.7974, 0.3099], [0.7974, 0.3099, 0.8885], [0.4611, 0.9953, 0.5464], [0.1326, 0.6472, 0.2100], [0.6472, 0.2100, 0.1326], [0.3099, 0.8885, 0.7974], [0.9953, 0.5464, 0.4611], [0.9398, 0.0337, 0.5198], [0.6209, 0.6993, 0.1848], [0.2865, 0.3672, 0.8361], [0.6993, 0.1848, 0.6209], [0.3672, 0.8361, 0.2865], [0.0337, 0.5198, 0.9398], [0.8361, 0.2865, 0.3672], [0.5198, 0.9398, 0.0337], [0.1848, 0.6209, 0.6993], [0.5902, 0.4451, 0.6960], [0.2390, 0.1069, 0.3398], [0.9022, 0.7628, 0.0079], [0.7628, 0.0079, 0.9022], [0.4451, 0.6960, 0.5902], [0.1069, 0.3398, 0.2390], [0.3398, 0.2390, 0.1069], [0.0079, 0.9022, 0.7628], [0.6960, 0.5902, 0.4451], [0.7194, 0.8529, 0.6204], [0.3825, 0.5156, 0.2707], [0.0596, 0.2090, 0.9576], [0.5156, 0.2707, 0.3825], [0.2090, 0.9576, 0.0596], [0.8529, 0.6204, 0.7194], [0.9576, 0.0596, 0.2090], [0.6204, 0.7194, 0.8529], [0.2707, 0.3825, 0.5156]],
  "e_form_raw_mev_per_atom": -1738,
  "e_tot_ev_per_atom": -26.32
}


Entry 8:
{
  "formula": "SrAl2Se",
  "functional": "meta-GGA SCAN",
  "state": "single point on PBEsol structure",
  "cell": [[3.7181, 0.0000, 0.0000], [0.0000, 4.5673, 0.0000], [-1.8590, -2.2837, 5.4796]],
  "species": ["Sr", "Al", "Al", "Se"],
  "fractional_positions": [[0.0000, 0.5000, 0.0000], [0.7710, 0.7710, 0.5419], [0.2290, 0.2290, 0.4581], [0.5000, 0.0000, 0.0000]],
  "e_form_raw_mev_per_atom": -466,
  "e_tot_ev_per_atom": -14.93
}